This record from Alexandria describes SrLaTaNiO6 after structural relaxation. The functional is PBEsol.

The structure in CIF format:
```
data_SrLaTaNiO6
_chemical_formula_sum 'Sr1 La1 Ta1 Ni1 O6'
_cell_length_a 5.573
_cell_length_b 5.573
_cell_length_c 5.573
_cell_angle_alpha 60.00
_cell_angle_beta 60.00
_cell_angle_gamma 60.00
_symmetry_space_group_name_H-M 'P 1'
_symmetry_Int_Tables_number 1
loop_
_symmetry_equiv_pos_as_xyz
'x,y,z'
loop_
_atom_site_label
_atom_site_fract_x
_atom_site_fract_y
_atom_site_fract_z
_atom_site_occupancy
Sr1 0.000 0.000 0.000 1
La1 0.500 0.500 0.500 1
Ta1 0.250 0.250 0.250 1
Ni1 0.750 0.750 0.750 1
O1 0.001 0.001 0.499 1
O2 0.001 0.499 0.001 1
O3 0.001 0.499 0.499 1
O4 0.499 0.001 0.001 1
O5 0.499 0.001 0.499 1
O6 0.499 0.499 0.001 1
```



This record from Alexandria describes Sr2La2TlNi2O9 after structural relaxation. The functional is PBEsol.

The structure in CIF format:
```
data_Sr2La2TlNi2O9
_chemical_formula_sum 'Sr2 La2 Tl1 Ni2 O9'
_cell_length_a 15.069
_cell_length_b 3.768
_cell_length_c 15.068
_cell_angle_alpha 82.85
_cell_angle_beta 14.36
_cell_angle_gamma 82.79
_symmetry_space_group_name_H-M 'P 1'
_symmetry_Int_Tables_number 1
loop_
_symmetry_equiv_pos_as_xyz
'x,y,z'
loop_
_atom_site_label
_atom_site_fract_x
_atom_site_fract_y
_atom_site_fract_z
_atom_site_occupancy
Sr1 0.084 0.916 0.084 1
Sr2 0.916 0.084 0.916 1
La1 0.203 0.798 0.202 1
La2 0.798 0.203 0.797 1
Tl1 0.482 0.482 0.518 1
Ni1 0.357 0.644 0.356 1
Ni2 0.644 0.357 0.643 1
O1 0.033 0.033 0.967 1
O2 0.149 0.352 0.148 1
O3 0.284 0.718 0.282 1
O4 0.352 0.149 0.352 1
O5 0.425 0.581 0.419 1
O6 0.581 0.425 0.575 1
O7 0.648 0.852 0.648 1
O8 0.718 0.284 0.716 1
O9 0.852 0.648 0.851 1
```

Calculated values
DOS(E_F): 0.243 states/eV per atom



no.,formation energy from raw total energies (meV per atom),M_tot (μB per atom),mass density (kg/m3)
1,-2640,0.200,7626
2,-2175,0.000,7247